The following is a DFT calculation (PBE-GGA) of Li3Np2NiSe6 after structural relaxation.

Lattice parameters (Å, degrees): 6.784 6.784 6.861 99.46 99.46 120.04
Last column: magnetic moment on the atom in μB.
Atoms (fractional coordinates):
Li: 0.168 0.832 0.500  -0.01
Li: 0.832 0.168 0.500  -0.01
Li: 0.500 0.500 0.500  -0.01
Np: 0.333 0.667 0.000  3.49
Np: 0.667 0.333 0.000  3.49
Ni: 0.000 0.000 0.000  -1.07
Se: 0.917 0.600 0.752  -0.14
Se: 0.766 0.766 0.245  -0.14
Se: 0.083 0.400 0.248  -0.14
Se: 0.600 0.917 0.752  -0.14
Se: 0.234 0.234 0.755  -0.14
Se: 0.400 0.083 0.248  -0.14

The space-group type is No. 12. Its magnetic moment is 4.99 μB/f.u. The density of states at the Fermi level comes out at 20.14 states/eV per cell. As for the raw formation energy: -0.98 eV per atom.

The following is a DFT calculation (PBE-GGA) of Li4Np3NiSe8 after structural relaxation.

Lattice parameters (Å, degrees): 7.949 7.931 7.949 120.07 120.00 90.00
Last column: magnetic moment on the atom in μB.
Atoms (fractional coordinates):
Li: 0.500 0.000 0.000  0.00
Li: 0.500 0.000 0.500  -0.01
Li: 0.000 0.000 0.000  -0.01
Li: 0.000 0.000 0.500  -0.01
Np: 0.500 0.500 0.000  3.66
Np: 0.500 0.500 0.500  3.66
Np: 0.000 0.500 0.500  3.66
Ni: 0.000 0.500 0.000  0.68
Se: 0.240 0.745 0.005  -0.07
Se: 0.240 0.745 0.479  -0.07
Se: 0.246 0.238 0.492  -0.09
Se: 0.765 0.745 0.005  -0.07
Se: 0.235 0.255 0.995  -0.07
Se: 0.754 0.762 0.508  -0.09
Se: 0.760 0.255 0.521  -0.07
Se: 0.760 0.255 0.995  -0.07

The space-group type is No. 166. Its magnetic moment is 11.48 μB/f.u. The density of states at the Fermi level comes out at 32.89 states/eV per cell. As for the raw formation energy: -1.02 eV per atom.

no.,energy (eV per atom)
1,-5.838
2,-6.024